The following is a PBE+U calculation of Sr2HfCrO6 after structural relaxation, from Alexandria.

```
Sr2HfCrO6
1.0
0.000 4.008 4.008
4.008 0.000 4.008
4.008 4.008 0.000
Sr Hf Cr O
2 1 1 6
direct
0.250 0.250 0.250
0.750 0.750 0.750
0.000 0.000 0.000
0.500 0.500 0.500
0.257 0.257 0.743
0.257 0.743 0.257
0.257 0.743 0.743
0.743 0.257 0.257
0.743 0.257 0.743
0.743 0.743 0.257
```

V in Å³ per atom: 12.9
Calculated total energy in eV/atom: -7.821
Total magnetic moment in μB/atom: 0.199